# TbTm3Ni | the Alexandria database | PBE-GGA | optimized geometry
# Energy, eV/atom: -4.8383
# Spin magnetization, μB per formula unit: 0.00
# Symmetry: Pm-3m
data_TbTm3Ni
_space_group_name_H-M_alt 'P 1'
_space_group_IT_number 1
_cell_length_a 5.235
_cell_length_b 5.235
_cell_length_c 5.235
_cell_angle_alpha 90.00
_cell_angle_beta 90.00
_cell_angle_gamma 90.00
loop_
_space_group_symop_operation_xyz
'x,y,z'
loop_
_atom_site_label
_atom_site_fract_x
_atom_site_fract_y
_atom_site_fract_z
Tb1 0.000 0.000 0.000
Tm1 0.000 0.500 0.500
Tm2 0.500 0.000 0.500
Tm3 0.500 0.500 0.000
Ni1 0.500 0.500 0.500



# Tb3Tm2Ni2 | the Alexandria database | PBE-GGA | optimized geometry
# Energy, eV/atom: -5.1673
# Spin magnetization, μB per formula unit: 0.00
# Symmetry: C2/m
data_Tb3Tm2Ni2
_space_group_name_H-M_alt 'P 1'
_space_group_IT_number 1
_cell_length_a 6.305
_cell_length_b 6.305
_cell_length_c 8.895
_cell_angle_alpha 115.11
_cell_angle_beta 115.11
_cell_angle_gamma 33.17
loop_
_space_group_symop_operation_xyz
'x,y,z'
loop_
_atom_site_label
_atom_site_fract_x
_atom_site_fract_y
_atom_site_fract_z
Tb1 0.000 0.000 0.000
Tb2 0.115 0.115 0.434
Tb3 0.885 0.885 0.566
Tm1 0.332 0.332 0.188
Tm2 0.668 0.668 0.812
Ni1 0.325 0.325 0.764
Ni2 0.675 0.675 0.236



# TbTm2Ni9 | the Alexandria database | PBE-GGA | optimized geometry
# Energy, eV/atom: -5.9056
# Spin magnetization, μB per formula unit: 1.04
# Symmetry: R-3m
data_TbTm2Ni9
_space_group_name_H-M_alt 'P 1'
_space_group_IT_number 1
_cell_length_a 8.546
_cell_length_b 8.546
_cell_length_c 8.546
_cell_angle_alpha 33.66
_cell_angle_beta 33.66
_cell_angle_gamma 33.66
loop_
_space_group_symop_operation_xyz
'x,y,z'
loop_
_atom_site_label
_atom_site_fract_x
_atom_site_fract_y
_atom_site_fract_z
Tb1 0.000 0.000 0.000
Tm1 0.140 0.140 0.140
Tm2 0.860 0.860 0.860
Ni1 0.081 0.584 0.584
Ni2 0.333 0.333 0.333
Ni3 0.416 0.416 0.919
Ni4 0.416 0.919 0.416
Ni5 0.500 0.500 0.500
Ni6 0.584 0.081 0.584
Ni7 0.584 0.584 0.081
Ni8 0.667 0.667 0.667
Ni9 0.919 0.416 0.416



# TbTm3Ni2 | the Alexandria database | PBE-GGA | optimized geometry
# Energy, eV/atom: -5.2478
# Spin magnetization, μB per formula unit: 0.00
# Symmetry: C2/m
data_TbTm3Ni2
_space_group_name_H-M_alt 'P 1'
_space_group_IT_number 1
_cell_length_a 8.156
_cell_length_b 8.156
_cell_length_c 11.238
_cell_angle_alpha 122.33
_cell_angle_beta 122.33
_cell_angle_gamma 27.40
loop_
_space_group_symop_operation_xyz
'x,y,z'
loop_
_atom_site_label
_atom_site_fract_x
_atom_site_fract_y
_atom_site_fract_z
Tb1 0.153 0.153 0.244
Tb2 0.847 0.847 0.756
Tm1 0.154 0.154 0.746
Tm2 0.417 0.417 0.061
Tm3 0.418 0.418 0.558
Tm4 0.582 0.582 0.442
Tm5 0.583 0.583 0.939
Tm6 0.846 0.846 0.254
Ni1 0.231 0.231 0.050
Ni2 0.231 0.231 0.551
Ni3 0.769 0.769 0.449
Ni4 0.769 0.769 0.950